Record 1
# NdTl2TcO6 | Alexandria via LeMat-Bulk | PBE | optimized geometry
data_NdTl2TcO6
_chemical_formula_sum 'Nd1 Tl2 Tc1 O6'
_space_group_name_H-M_alt 'P -3 m 1'
_space_group_IT_number 164
_space_group_name_Hall '-P 3 2"'
_cell_length_a 6.4373
_cell_length_b 6.4373
_cell_length_c 6.0018
_cell_angle_alpha 90.00
_cell_angle_beta 90.00
_cell_angle_gamma 120.00
loop_
_atom_site_label
_atom_site_type_symbol
_atom_site_fract_x
_atom_site_fract_y
_atom_site_fract_z
Nd1 Nd 0.0000 0.0000 0.0000
Tl1 Tl 0.3333 0.6667 0.5284
Tc1 Tc 0.0000 0.0000 0.5000
O1 O 0.1369 0.2738 0.3062
# Calculated volume, Å³/atom: 21.5
# Formation energy without anion corrections, meV per atom: -1497
# Crystal system: trigonal
# Theoretical density, g cm⁻³: 5.8

Record 2
# Nd2TlTcO8 | Alexandria via LeMat-Bulk | PBE | optimized geometry
data_Nd2TlTcO8
_chemical_formula_sum 'Nd2 Tl1 Tc1 O8'
_space_group_name_H-M_alt 'P -1'
_space_group_IT_number 2
_space_group_name_Hall '-P 1'
_cell_length_a 4.8508
_cell_length_b 4.8924
_cell_length_c 7.4596
_cell_angle_alpha 92.37
_cell_angle_beta 92.39
_cell_angle_gamma 94.23
loop_
_atom_site_label
_atom_site_type_symbol
_atom_site_fract_x
_atom_site_fract_y
_atom_site_fract_z
Nd1 Nd 0.0573 0.0516 0.2617
Tl1 Tl 0.5000 0.5000 0.0000
Tc1 Tc 0.5000 0.5000 0.5000
O1 O 0.1993 0.1980 0.9798
O2 O 0.2202 0.2277 0.5457
O3 O 0.2693 0.6295 0.3108
O4 O 0.3698 0.7363 0.6848
# Calculated volume, Å³/atom: 14.7
# Formation energy without anion corrections, meV per atom: -1969
# Crystal system: triclinic
# Theoretical density, g cm⁻³: 6.8

Record 3
# Nd2Tl2TcO6 | Alexandria via LeMat-Bulk | PBE | optimized geometry
data_Nd2Tl2TcO6
_chemical_formula_sum 'Nd4 Tl4 Tc2 O12'
_space_group_name_H-M_alt 'C 1 2/m 1'
_space_group_IT_number 12
_space_group_name_Hall '-C 2y'
_cell_length_a 6.0431
_cell_length_b 10.3931
_cell_length_c 6.7580
_cell_angle_alpha 90.00
_cell_angle_beta 104.66
_cell_angle_gamma 90.00
loop_
_atom_site_label
_atom_site_type_symbol
_atom_site_fract_x
_atom_site_fract_y
_atom_site_fract_z
Nd1 Nd 0.0000 0.1652 0.0000
Tl1 Tl 0.0000 0.3404 0.5000
Tc1 Tc 0.0000 0.5000 0.0000
O1 O 0.1942 0.3501 0.1622
O2 O 0.2384 0.5000 0.8232
# Calculated volume, Å³/atom: 18.7
# Formation energy without anion corrections, meV per atom: -1932
# Crystal system: monoclinic
# Theoretical density, g cm⁻³: 7.2

Record 4
# NdTlTcO5 | Alexandria via LeMat-Bulk | PBE | optimized geometry
data_NdTlTcO5
_chemical_formula_sum 'Nd4 Tl4 Tc4 O20'
_space_group_name_H-M_alt 'C 1 2/c 1'
_space_group_IT_number 15
_space_group_name_Hall '-C 2yc'
_cell_length_a 7.9845
_cell_length_b 10.5929
_cell_length_c 8.4633
_cell_angle_alpha 90.00
_cell_angle_beta 116.60
_cell_angle_gamma 90.00
loop_
_atom_site_label
_atom_site_type_symbol
_atom_site_fract_x
_atom_site_fract_y
_atom_site_fract_z
Nd1 Nd 0.0000 0.0000 0.0000
Tl1 Tl 0.0000 0.3009 0.2500
Tc1 Tc 0.0000 0.3137 0.7500
O1 O 0.0000 0.0805 0.2500
O2 O 0.0813 0.2136 0.6263
O3 O 0.1834 0.4124 0.8991
# Calculated volume, Å³/atom: 20.0
# Formation energy without anion corrections, meV per atom: -1840
# Crystal system: monoclinic
# Theoretical density, g cm⁻³: 5.5

Record 5
# Nd3Tl3TcO8 | Alexandria via LeMat-Bulk | PBE | optimized geometry
data_Nd3Tl3TcO8
_chemical_formula_sum 'Nd9 Tl9 Tc3 O24'
_space_group_name_H-M_alt 'R -3 m'
_space_group_IT_number 166
_space_group_name_Hall '-R 3 2"'
_cell_length_a 7.0720
_cell_length_b 7.0720
_cell_length_c 19.6154
_cell_angle_alpha 90.00
_cell_angle_beta 90.00
_cell_angle_gamma 120.00
loop_
_atom_site_label
_atom_site_type_symbol
_atom_site_fract_x
_atom_site_fract_y
_atom_site_fract_z
Nd1 Nd 0.0000 0.5000 0.0000
Tl1 Tl 0.0000 0.5000 0.5000
Tc1 Tc 0.0000 0.0000 0.0000
O1 O 0.0000 0.0000 0.2743
O2 O 0.0370 0.5185 0.7219
# Calculated volume, Å³/atom: 18.9
# Formation energy without anion corrections, meV per atom: -2001
# Crystal system: trigonal
# Theoretical density, g cm⁻³: 7.5